! In2AsSe | Alexandria via LeMat-Bulk | GGA-PBE | optimized geometry; values from VASP
! - Total energy: -3.631 eV per atom
! - Volume: 32.22 Å³/atom
&SYSTEM
  ibrav = 0, nat = 4, ntyp = 3
/
ATOMIC_SPECIES
Se 78.96 Se.upf
In 114.82 In.upf
As 74.92 As.upf
CELL_PARAMETERS angstrom
-2.244 3.830 -0.231
-0.592 -2.718 3.467
5.569 3.485 3.682
ATOMIC_POSITIONS crystal
Se 0.667 0.333 0.512
In 0.000 0.000 0.363
In 0.667 0.333 0.881
As 0.000 0.000 0.994